Material: ZnPbF3
Method: DFT, PBE-GGA
State: optimized geometry

Values from the calculation:
electronic total energy	-4.037	eV per atom
magnetization	0.000	μB/cell

Geometry as CIF:
```
data_ZnPbF3
_chemical_formula_sum 'Zn4 Pb4 F12'
_symmetry_space_group_name_H-M 'A m a 2'
_symmetry_Int_Tables_number 40
_cell_length_a 4.266
_cell_length_b 14.350
_cell_length_c 5.722
_cell_angle_alpha 90.00
_cell_angle_beta 90.00
_cell_angle_gamma 90.00
loop_
_symmetry_equiv_pos_as_xyz
'x,y,z'
'-x,-y,z'
'-x+1/2,y,z'
'x+1/2,-y,z'
'x,y+1/2,z+1/2'
'-x,-y+1/2,z+1/2'
'-x+1/2,y+1/2,z+1/2'
'x+1/2,-y+1/2,z+1/2'
loop_
_atom_site_label
_atom_site_type_symbol
_atom_site_fract_x
_atom_site_fract_y
_atom_site_fract_z
_atom_site_occupancy
Zn1 Zn 0.250 0.065 0.000 1
Pb1 Pb 0.250 0.335 0.983 1
F1 F 0.250 0.168 0.713 1
F2 F 0.250 0.189 0.195 1
F3 F 0.250 0.431 0.327 1
```